[1]
! MnCd2Tc | Alexandria via LeMat-Bulk | PBE | optimized geometry; values from VASP
! ΔE_f = 0.252 eV/atom
! space-group type = R3m
! energy relative to the lowest polymorph listed for this composition = 70.3 meV per atom
&SYSTEM
  ibrav = 0, nat = 4, ntyp = 3
/
ATOMIC_SPECIES
Cd 112.41 Cd.upf
Mn 54.94 Mn.upf
Tc 98.00 Tc.upf
CELL_PARAMETERS angstrom
-7.758 -5.070 2.986
-5.796 -6.148 4.838
-7.176 -3.669 5.464
ATOMIC_POSITIONS crystal
Cd 0.007 0.007 0.007
Cd 0.241 0.241 0.241
Mn 0.491 0.491 0.491
Tc 0.761 0.761 0.761

***

[2]
! La3Ga4Ni2 | Alexandria via LeMat-Bulk | PBE | optimized geometry; values from VASP
! ΔE_f = -0.595 eV/atom
! space-group type = C2/m
! energy relative to the lowest polymorph listed for this composition = 0.0 meV per atom
&SYSTEM
  ibrav = 0, nat = 9, ntyp = 3
/
ATOMIC_SPECIES
La 138.91 La.upf
Ga 69.72 Ga.upf
Ni 58.69 Ni.upf
CELL_PARAMETERS angstrom
4.361 0.000 0.000
-2.180 5.362 -1.411
0.000 -0.878 8.632
ATOMIC_POSITIONS crystal
La 0.679 0.359 0.641
La 0.000 0.000 0.000
La 0.321 0.641 0.359
Ga 0.740 0.480 0.084
Ga 0.260 0.520 0.916
Ga 0.976 0.952 0.644
Ga 0.024 0.048 0.356
Ni 0.602 0.205 0.268
Ni 0.398 0.795 0.732

***

[3]
! Ag2Au3S3 | Alexandria via LeMat-Bulk | PBE | optimized geometry; values from VASP
! space-group type = C2
! raw formation energy = 0.025 eV per atom
&SYSTEM
  ibrav = 0, nat = 8, ntyp = 3
/
ATOMIC_SPECIES
Ag 107.87 Ag.upf
Au 196.97 Au.upf
S 32.06 S.upf
CELL_PARAMETERS angstrom
5.757 0.067 -0.071
0.042 6.294 -0.317
-0.039 -0.308 6.294
ATOMIC_POSITIONS crystal
Ag 0.305 0.280 0.628
Ag 0.695 0.628 0.280
Au 0.284 0.809 0.539
Au 0.500 0.207 0.207
Au 0.716 0.539 0.809
S 0.387 0.479 0.003
S 0.000 0.555 0.555
S 0.613 0.003 0.479

***

[4]
! Pm5ZnPb3 | Alexandria via LeMat-Bulk | PBE | optimized geometry; values from VASP
! ΔE_f = -0.531 eV/atom
! space-group type = P6_3/mcm
&SYSTEM
  ibrav = 0, nat = 18, ntyp = 3
/
ATOMIC_SPECIES
Pm 145.00 Pm.upf
Zn 65.41 Zn.upf
Pb 207.20 Pb.upf
CELL_PARAMETERS angstrom
-6.603 1.010 1.018
0.186 -6.145 7.306
1.655 9.280 1.523
ATOMIC_POSITIONS crystal
Pm 0.000 0.667 0.333
Pm 0.500 0.333 0.667
Pm 0.000 0.333 0.667
Pm 0.500 0.667 0.333
Pm 0.750 0.734 0.734
Pm 0.750 0.000 0.266
Pm 0.750 0.266 0.000
Pm 0.250 0.266 0.266
Pm 0.250 0.000 0.734
Pm 0.250 0.734 0.000
Zn 0.000 0.000 0.000
Zn 0.500 0.000 0.000
Pb 0.750 0.379 0.379
Pb 0.750 0.000 0.621
Pb 0.750 0.621 0.000
Pb 0.250 0.621 0.621
Pb 0.250 0.000 0.379
Pb 0.250 0.379 0.000

***

[5]
! K2NiPt | Alexandria via LeMat-Bulk | PBE | optimized geometry; values from VASP
! ΔE_f = 0.215 eV/atom
! space-group type = Imm2
! energy relative to the lowest polymorph listed for this composition = 118.4 meV per atom
&SYSTEM
  ibrav = 0, nat = 4, ntyp = 3
/
ATOMIC_SPECIES
K 39.10 K.upf
Ni 58.69 Ni.upf
Pt 195.08 Pt.upf
CELL_PARAMETERS angstrom
5.874 -0.026 -0.002
1.593 5.654 0.002
-3.231 -3.480 3.457
ATOMIC_POSITIONS crystal
K 0.030 0.030 0.000
K 0.721 0.221 0.500
Ni 0.416 0.416 0.000
Pt 0.333 0.833 0.500

***

[6]
! ZrTe2NCl | Alexandria via LeMat-Bulk | PBE | optimized geometry; values from VASP
! space-group type = P4/mmm
! energy relative to the lowest polymorph listed for this composition = 0.0 meV per atom
! raw formation energy = 0.146 eV per atom
&SYSTEM
  ibrav = 0, nat = 5, ntyp = 4
/
ATOMIC_SPECIES
N 14.01 N.upf
Te 127.60 Te.upf
Zr 91.22 Zr.upf
Cl 35.45 Cl.upf
CELL_PARAMETERS angstrom
-3.505 -4.331 1.392
1.757 -2.909 -4.630
2.984 -1.707 2.204
ATOMIC_POSITIONS crystal
N 0.000 0.000 0.500
Te 0.000 0.500 0.000
Te 0.500 0.000 0.000
Zr 0.000 0.000 0.000
Cl 0.500 0.500 0.500

***

[7]
! MnZnSe | Alexandria via LeMat-Bulk | PBE | optimized geometry; values from VASP
! space-group type = P3m1
! energy relative to the lowest polymorph listed for this composition = 143.4 meV per atom
! raw formation energy = 0.148 eV per atom
&SYSTEM
  ibrav = 0, nat = 3, ntyp = 3
/
ATOMIC_SPECIES
Mn 54.94 Mn.upf
Se 78.96 Se.upf
Zn 65.41 Zn.upf
CELL_PARAMETERS angstrom
-2.010 -3.035 -2.081
2.587 -0.978 3.153
-2.800 0.230 2.369
ATOMIC_POSITIONS crystal
Mn 0.000 0.000 0.170
Se 0.333 0.667 0.164
Zn 0.667 0.333 0.666

***

[8]
! TbYErTm | Alexandria via LeMat-Bulk | PBE | optimized geometry; values from VASP
! ΔE_f = 0.025 eV/atom
! space-group type = I-4m2
! energy relative to the lowest polymorph listed for this composition = 0.0 meV per atom
&SYSTEM
  ibrav = 0, nat = 4, ntyp = 4
/
ATOMIC_SPECIES
Tb 158.93 Tb.upf
Y 88.91 Y.upf
Er 167.26 Er.upf
Tm 168.93 Tm.upf
CELL_PARAMETERS angstrom
4.994 0.000 0.000
0.000 4.994 0.000
-2.497 -2.497 4.994
ATOMIC_POSITIONS crystal
Tb 0.370 0.870 0.739
Y 0.120 0.120 0.240
Er 0.870 0.370 0.740
Tm 0.620 0.620 0.240

***

Number 1: N(E_F) 3.32 states/eV per cell, electronic total energy -20.4 eV for the cell shown. Number 2: N(E_F) 4.99 states/eV per cell, electronic total energy -43.8 eV for the cell shown. Number 3: N(E_F) 2.87 states/eV per cell, electronic total energy -27.7 eV for the cell shown. Number 4: N(E_F) 17.98 states/eV per cell, electronic total energy -81.9 eV for the cell shown. Number 5: N(E_F) 2.90 states/eV per cell, electronic total energy -13.2 eV for the cell shown. Number 6: N(E_F) 6.58 states/eV per cell, electronic total energy -24.3 eV for the cell shown. Number 7: N(E_F) 1.95 states/eV per cell, electronic total energy -13.5 eV for the cell shown. Number 8: N(E_F) 5.96 states/eV per cell, electronic total energy -20.0 eV for the cell shown.